Record 1
GeAsSe2S (PBEsol, relaxed); M_tot = 0.000 μB per atom; SG = P4/mmm, No. 123; E_form (uncorrected) = 561 meV/atom; total energy = -19.33 eV per formula unit
1.0
4.825 0.000 0.000
0.000 4.825 0.000
0.000 0.000 4.692
S As Ge Se
1 1 1 2
Direct
0.000 0.000 0.000
0.000 0.000 0.500
0.500 0.500 0.500
0.000 0.500 0.000
0.500 0.000 0.000



Record 2
La2MgAl (PBEsol, relaxed); M_tot = 0.000 μB per atom; SG = I-4m2, No. 119; total energy = -17.07 eV per formula unit; DFT formation energy = -0.1414 eV per atom
1.0
-3.478 -2.470 1.859
-0.274 -2.541 -3.889
5.148 -0.699 2.878
Al La Mg
1 2 1
Direct
0.250 0.750 0.500
0.000 0.000 0.000
0.750 0.250 0.500
0.500 0.500 0.000



Record 3
SiTc2Ir (PBEsol, relaxed); M_tot = 0.000 μB per atom; SG = Immm, No. 71; E_form (uncorrected) = -270 meV/atom; total energy = -39.18 eV per formula unit
1.0
-1.897 0.972 1.928
-3.041 0.066 -3.025
1.383 -4.626 1.550
Ir Si Tc
1 1 2
Direct
0.500 0.000 0.000
0.000 0.500 0.000
0.723 0.723 0.446
0.277 0.277 0.554



Record 4
CrRe2Hg (PBEsol, relaxed); M_tot = 0.000 μB per atom; SG = Pmm2, No. 25; total energy = -35.74 eV per formula unit; DFT formation energy = 0.4333 eV per atom
1.0
2.818 0.000 0.000
0.000 3.850 0.000
0.000 0.000 5.632
Cr Hg Re
1 1 2
Direct
0.000 0.000 0.458
0.500 0.500 0.743
0.000 0.000 0.046
0.500 0.500 0.252



Which value of total energy does entry 4 give? -35.74 eV per formula unit